i) The following is a PBE calculation of a relaxed HPd3Pb crystal, from Alexandria via LeMat-Bulk.

**Magnetization**: 0.0 μB/f.u.

Lattice parameters (Å, degrees): 7.7696 7.7696 5.7549 99.31 99.31 65.95
Fractional positions:
H (0.0319, 0.3128, 0.2940)
H (0.3128, 0.0319, 0.7940)
H (0.6872, 0.9681, 0.2060)
H (0.9681, 0.6872, 0.7060)
Pd (0.1439, 0.5078, 0.8890)
Pd (0.1528, 0.1800, 0.5522)
Pd (0.1800, 0.1528, 0.0522)
Pd (0.1906, 0.4914, 0.3839)
Pd (0.4914, 0.1906, 0.8839)
Pd (0.4922, 0.8561, 0.6110)
Pd (0.5078, 0.1439, 0.3890)
Pd (0.5086, 0.8094, 0.1161)
Pd (0.8094, 0.5086, 0.6161)
Pd (0.8200, 0.8472, 0.9478)
Pd (0.8472, 0.8200, 0.4478)
Pd (0.8561, 0.4922, 0.1110)
Pb (0.1501, 0.8499, 0.2500)
Pb (0.4247, 0.5753, 0.7500)
Pb (0.5753, 0.4247, 0.2500)
Pb (0.8499, 0.1501, 0.7500)


ii) The following is a PBE calculation of a relaxed HPd3Pb crystal, from Alexandria via LeMat-Bulk.

**Magnetization**: 0.0 μB/f.u.

Lattice parameters (Å, degrees): 7.7822 7.7822 5.0777 91.49 91.49 102.57
Fractional positions:
H (0.0481, 0.9519, 0.7500)
H (0.2034, 0.7966, 0.2500)
H (0.7966, 0.2034, 0.7500)
H (0.9519, 0.0481, 0.2500)
Pd (0.0636, 0.1852, 0.5702)
Pd (0.0670, 0.7040, 0.9154)
Pd (0.1738, 0.5693, 0.4107)
Pd (0.1852, 0.0636, 0.0702)
Pd (0.2960, 0.9330, 0.5846)
Pd (0.4307, 0.8262, 0.0893)
Pd (0.5693, 0.1738, 0.9107)
Pd (0.7040, 0.0670, 0.4154)
Pd (0.8148, 0.9364, 0.9298)
Pd (0.8262, 0.4307, 0.5893)
Pd (0.9330, 0.2960, 0.0846)
Pd (0.9364, 0.8148, 0.4298)
Pb (0.2669, 0.4440, 0.9205)
Pb (0.4440, 0.2669, 0.4205)
Pb (0.5560, 0.7331, 0.5795)
Pb (0.7331, 0.5560, 0.0795)


Relative energies, kJ/mol of atoms: i) 0.6; ii) 0.0.